Ag4SnBi | PBE | optimized geometry

CIF file:
```
data_Ag4SnBi
_cell_length_a 8.0580
_cell_length_b 8.0580
_cell_length_c 8.0580
_cell_angle_alpha 90.00
_cell_angle_beta 90.00
_cell_angle_gamma 90.00
_space_group_name_H-M_alt 'F -4 3 m'
_space_group_IT_number 216
_space_group_name_Hall 'F -4 2 3'
loop_
_atom_site_label
_atom_site_type_symbol
_atom_site_fract_x
_atom_site_fract_y
_atom_site_fract_z
Ag1 Ag 0.1250 0.1250 0.1250
Sn1 Sn 0.2500 0.2500 0.7500
Bi1 Bi 0.0000 0.0000 0.5000
```

Its theoretical density is 9.64 g/cm³.



Ag2SnBi2 | PBE | optimized geometry

CIF file:
```
data_Ag2SnBi2
_cell_length_a 8.6033
_cell_length_b 8.6033
_cell_length_c 3.5013
_cell_angle_alpha 90.00
_cell_angle_beta 90.00
_cell_angle_gamma 90.00
_space_group_name_H-M_alt 'P 4/m b m'
_space_group_IT_number 127
_space_group_name_Hall '-P 4 2ab'
loop_
_atom_site_label
_atom_site_type_symbol
_atom_site_fract_x
_atom_site_fract_y
_atom_site_fract_z
Ag1 Ag 0.1218 0.3782 0.0000
Sn1 Sn 0.0000 0.0000 0.0000
Bi1 Bi 0.1746 0.6746 0.5000
```

Its theoretical density is 9.64 g/cm³. The calculation puts the energy above the most stable polymorph in this dataset at 1.3 kJ per mole of atoms.



ΔH_f (0 K) across the listed records, respectively: 0.040 0.139 eV per atom.